# LiTbCeRh

LiTbCeRh after structural relaxation (GGA-PBE, the Alexandria database).

Calculated values
DFT formation energy in eV per atom: -0.331

a b c (Å): 7.0573 7.0573 7.0573
angles (deg): 90.00 90.00 90.00
Fractional coordinates of all 16 atoms:
Li 0.0000 0.0000 0.0000
Li 0.0000 0.5000 0.5000
Li 0.5000 0.0000 0.5000
Li 0.5000 0.5000 0.0000
Tb 0.2500 0.2500 0.7500
Tb 0.2500 0.7500 0.2500
Tb 0.7500 0.2500 0.2500
Tb 0.7500 0.7500 0.7500
Ce 0.2500 0.2500 0.2500
Ce 0.2500 0.7500 0.7500
Ce 0.7500 0.2500 0.7500
Ce 0.7500 0.7500 0.2500
Rh 0.0000 0.0000 0.5000
Rh 0.0000 0.5000 0.0000
Rh 0.5000 0.0000 0.0000
Rh 0.5000 0.5000 0.5000

***

# Pr4AgPb

Pr4AgPb after structural relaxation (GGA-PBE, the Alexandria database).

Calculated values
DFT formation energy in eV per atom: -0.135

a b c (Å): 11.1193 11.1193 6.6713
angles (deg): 90.00 90.00 150.03
Fractional coordinates of all 12 atoms:
Pr 0.0574 0.9426 0.7500
Pr 0.2099 0.7901 0.5073
Pr 0.2099 0.7901 0.9927
Pr 0.3819 0.6181 0.7500
Pr 0.6181 0.3819 0.2500
Pr 0.7901 0.2099 0.0073
Pr 0.7901 0.2099 0.4927
Pr 0.9426 0.0574 0.2500
Ag 0.0818 0.9182 0.2500
Ag 0.9182 0.0818 0.7500
Pb 0.3522 0.6478 0.2500
Pb 0.6478 0.3522 0.7500

***

# YZr3Br

YZr3Br after structural relaxation (GGA-PBE, the Alexandria database).

Calculated values
Excess energy over the best structure of this formula in the dataset in eV/f.u.: 0.00
Formation energy (no corrections) in eV/atom: 0.147

a b c (Å): 5.0801 5.0801 5.0801
angles (deg): 90.00 90.00 90.00
Fractional coordinates of all 5 atoms:
Y 0.0000 0.0000 0.0000
Zr 0.0000 0.5000 0.5000
Zr 0.5000 0.0000 0.5000
Zr 0.5000 0.5000 0.0000
Br 0.5000 0.5000 0.5000

***

# FeRe2Ni2

FeRe2Ni2 after structural relaxation (GGA-PBE, the Alexandria database).

Calculated values
DFT formation energy in eV per atom: 0.418

a b c (Å): 6.7711 6.7711 2.7996
angles (deg): 90.00 90.00 90.00
Fractional coordinates of all 10 atoms:
Fe 0.0000 0.0000 0.0000
Fe 0.5000 0.5000 0.0000
Re 0.1764 0.3236 0.5000
Re 0.3236 0.8236 0.5000
Re 0.6764 0.1764 0.5000
Re 0.8236 0.6764 0.5000
Ni 0.1223 0.6223 0.0000
Ni 0.3777 0.1223 0.0000
Ni 0.6223 0.8777 0.0000
Ni 0.8777 0.3777 0.0000

***

# YZn3Ag3

YZn3Ag3 after structural relaxation (GGA-PBE, the Alexandria database).

Calculated values
DFT formation energy in eV per atom: 0.774

a b c (Å): 8.5776 8.5776 8.5776
angles (deg): 60.00 60.00 60.00
Fractional coordinates of all 14 atoms:
Y 0.2500 0.2500 0.2500
Y 0.7500 0.7500 0.7500
Zn 0.1470 0.1470 0.8530
Zn 0.1470 0.8530 0.1470
Zn 0.1470 0.8530 0.8530
Zn 0.8530 0.1470 0.1470
Zn 0.8530 0.1470 0.8530
Zn 0.8530 0.8530 0.1470
Ag 0.3412 0.3412 0.6588
Ag 0.3412 0.6588 0.3412
Ag 0.3412 0.6588 0.6588
Ag 0.6588 0.3412 0.3412
Ag 0.6588 0.3412 0.6588
Ag 0.6588 0.6588 0.3412

***

# CrMo3

CrMo3 after structural relaxation (GGA-PBE, the Alexandria database).

Calculated values
DFT formation energy in eV per atom: 0.051

a b c (Å): 2.7038 4.3560 5.1395
angles (deg): 90.00 99.78 90.00
Fractional coordinates of all 4 atoms:
Cr 0.0000 0.0000 0.0000
Mo 0.2511 0.5000 0.7557
Mo 0.5000 0.0000 0.5000
Mo 0.7489 0.5000 0.2443

***

# Ac2In2GePd4

Ac2In2GePd4 after structural relaxation (GGA-PBE, the Alexandria database).

Calculated values
DFT formation energy in eV per atom: -0.614

a b c (Å): 6.5834 6.5834 6.5834
angles (deg): 116.42 116.42 96.32
Fractional coordinates of all 9 atoms:
Ac 0.2500 0.7500 0.5000
Ac 0.7500 0.2500 0.5000
In 0.1695 0.1695 0.0000
In 0.8305 0.8305 0.0000
Ge 0.5000 0.5000 0.0000
Pd 0.2445 0.2445 0.4890
Pd 0.2445 0.7555 0.0000
Pd 0.7555 0.2445 0.0000
Pd 0.7555 0.7555 0.5110

***

# AcGdHo2

AcGdHo2 after structural relaxation (GGA-PBE, the Alexandria database).

Calculated values
Excess energy over the best structure of this formula in the dataset in eV/f.u.: 0.00
DFT formation energy in eV per atom: 0.051

a b c (Å): 5.1986 5.1986 5.1114
angles (deg): 90.00 90.00 90.00
Fractional coordinates of all 4 atoms:
Ac 0.0000 0.0000 0.0000
Gd 0.5000 0.5000 0.0000
Ho 0.0000 0.5000 0.5000
Ho 0.5000 0.0000 0.5000

***

# Y2SiRhC

Y2SiRhC after structural relaxation (GGA-PBE, the Alexandria database).

Calculated values
Formation energy (no corrections) in eV/atom: 0.638

a b c (Å): 5.2468 5.2468 4.3981
angles (deg): 90.00 90.00 90.00
Fractional coordinates of all 5 atoms:
Y 0.0000 0.5000 0.0000
Y 0.5000 0.0000 0.0000
Si 0.0000 0.0000 0.5000
Rh 0.0000 0.0000 0.0000
C 0.5000 0.5000 0.5000

***

# TmGa2SiRh4

TmGa2SiRh4 after structural relaxation (GGA-PBE, the Alexandria database).

Calculated values
Formation energy (no corrections) in eV/atom: -0.806

a b c (Å): 7.8018 7.8018 7.8018
angles (deg): 32.40 32.40 32.40
Fractional coordinates of all 8 atoms:
Tm 0.0000 0.0000 0.0000
Ga 0.2515 0.2515 0.2515
Ga 0.7485 0.7485 0.7485
Si 0.5000 0.5000 0.5000
Rh 0.1323 0.1323 0.1323
Rh 0.3939 0.3939 0.3939
Rh 0.6061 0.6061 0.6061
Rh 0.8677 0.8677 0.8677

***

# Ni3Pt7

Ni3Pt7 after structural relaxation (GGA-PBE, the Alexandria database).

Calculated values
Excess energy over the best structure of this formula in the dataset in eV/f.u.: 0.00
DFT formation energy in eV per atom: -0.072

a b c (Å): 7.2379 7.2379 5.4910
angles (deg): 101.58 101.58 30.84
Fractional coordinates of all 10 atoms:
Ni 0.0000 0.0000 0.0000
Ni 0.2008 0.2008 0.6016
Ni 0.7992 0.7992 0.3984
Pt 0.0000 0.0000 0.5000
Pt 0.2020 0.2020 0.1105
Pt 0.3953 0.3953 0.6906
Pt 0.4020 0.4020 0.1938
Pt 0.5980 0.5980 0.8062
Pt 0.6047 0.6047 0.3094
Pt 0.7980 0.7980 0.8895

***

# IrPtCl2

IrPtCl2 after structural relaxation (GGA-PBE, the Alexandria database).

Calculated values
Excess energy over the best structure of this formula in the dataset in eV/f.u.: 3.85
Formation energy (no corrections) in eV/atom: 0.976

a b c (Å): 6.4491 6.4491 6.4491
angles (deg): 90.00 90.00 90.00
Fractional coordinates of all 16 atoms:
Ir 0.0000 0.0000 0.0000
Ir 0.0000 0.5000 0.5000
Ir 0.5000 0.0000 0.5000
Ir 0.5000 0.5000 0.0000
Pt 0.2500 0.2500 0.2500
Pt 0.2500 0.7500 0.7500
Pt 0.7500 0.2500 0.7500
Pt 0.7500 0.7500 0.2500
Cl 0.0000 0.0000 0.5000
Cl 0.0000 0.5000 0.0000
Cl 0.2500 0.2500 0.7500
Cl 0.2500 0.7500 0.2500
Cl 0.5000 0.0000 0.0000
Cl 0.5000 0.5000 0.5000
Cl 0.7500 0.2500 0.2500
Cl 0.7500 0.7500 0.7500

***

Asked for density across the records above, the calculation gives 7.727; 7.083; 5.604; 14.118; 4.530; 9.460; 9.289; 8.584; 4.400; 10.248; 17.748; 11.347 g/cm3 in order.
Asked for density of states at the Fermi level across the records above, the calculation gives 6.82; 7.44; 5.68; 5.11; 7.07; 2.61; 4.67; 6.61; 3.62; 3.74; 16.66; 3.68 states/eV/f.u. in order.